Entry from Alexandria: a relaxed LuHf2Ti crystal (PBE-GGA).

Summary:
magnetic moment: 0.00 μB/f.u.
space group: No. 166
E: -7.922 eV/atom

a b c (Å): 3.165 3.165 31.042
angles (deg): 90.00 90.00 120.00
Fractional coordinates of all 12 atoms:
Lu1 0.000 0.000 0.000
Lu2 0.333 0.667 0.667
Lu3 0.667 0.333 0.333
Hf1 0.000 0.000 0.244
Hf2 0.000 0.000 0.756
Hf3 0.333 0.667 0.423
Hf4 0.333 0.667 0.910
Hf5 0.667 0.333 0.090
Hf6 0.667 0.333 0.577
Ti1 0.000 0.000 0.500
Ti2 0.333 0.667 0.167
Ti3 0.667 0.333 0.833